Density functional theory data (PBE) for a relaxed Nd2Ho6Ag crystal.

```
Nd2Ho6Ag
1.0
9.740 0.000 0.000
0.000 10.163 0.000
0.000 0.000 5.448
Nd Ho Ag
4 12 2
Direct
0.189 0.248 0.000
0.311 0.748 0.500
0.689 0.252 0.500
0.811 0.752 0.000
0.017 0.316 0.500
0.136 0.896 0.000
0.187 0.573 0.000
0.313 0.073 0.500
0.364 0.396 0.500
0.483 0.816 0.000
0.517 0.184 0.000
0.636 0.604 0.500
0.687 0.927 0.500
0.813 0.427 0.000
0.864 0.104 0.000
0.983 0.684 0.500
0.000 0.000 0.500
0.500 0.500 0.000
```

Results
ΔH_f (0 K) ... 0.028 eV/atom
SG ... No. 58
Fermi-level density of states ... 1.43 states/eV per atom
Calculated density ... 8.5 g cm⁻³